Entry from Alexandria: In4SnS8 at its PBEsol-relaxed geometry (meta-GGA SCAN).

abc: 7.5361 7.5361 18.4089
angles: 90.00 90.00 120.00
Closest atoms and distances in Å follow each position.
Space group R3m (No. 160, hexagonal axes)
Inequivalent atoms, fractional coordinates:
1 In 0.0000 0.0000 0.0000  4 S 2.46-2.50
2 In 0.1798 0.3597 0.2008  6 S 2.54-2.69
3 Sn 0.0000 0.0000 0.3796  6 S 2.50-2.66
4 S 0.0000 0.0000 0.1338  4 In 2.46-2.65
5 S 0.0000 0.0000 0.6185  3 In 2.54
6 S 0.0058 0.5029 0.1170  1 Sn 2.50, 2 In 2.58
7 S 0.1793 0.3585 0.9514  3 In 2.50-2.69, 1 Sn 2.66

Values from the calculation:
VASP energy	-19.57	eV/atom
formation energy from raw total energies	-608	meV per atom
total moment	0.0	μB/f.u.